# AcInGeF

A geometry-optimized AcInGeF structure (PBE-GGA, the Alexandria database).

abc: 4.336 4.336 9.776
angles: 90.00 90.00 90.00
Positions (direct):
Ac: 0.250 0.250 0.169
Ac: 0.750 0.750 0.831
In: 0.250 0.750 0.500
In: 0.750 0.250 0.500
Ge: 0.250 0.250 0.713
Ge: 0.750 0.750 0.287
F: 0.250 0.750 0.000
F: 0.750 0.250 0.000

magnetic moment	0.0	Bohr magnetons per cell
formation energy (no corrections)	-1.528	eV per atom
calculated total energy	-4.8614	eV per atom